(1)
Ca2AgPdAu6, relaxed, DFT PBE-GGA; volume = 265.2 Å³/f.u.; VASP energy = -31.82 eV per cell; size of the total moment = 0.00 μB per formula unit; energy of formation from the pure elements = -11.3 meV per atom; symmetry = Fm-3m, No. 225
1.0
-2.6315 -5.8210 -3.3471
0.5216 -3.7613 6.1312
-5.7886 -3.3804 2.6602
Ca Ag Pd Au
2 1 1 6
Cartesian
-3.1610 -5.9665 5.0918
-4.7375 -6.9963 0.3526
-1.0549 -4.7912 1.3921
0.0000 0.0000 0.0000
-0.2619 -4.2732 3.7759
-1.5856 -7.2010 2.0923
-3.4359 -4.0816 2.0300
-1.8480 -5.3092 -0.9917
-0.5243 -2.3813 0.6919
-4.4626 -8.8812 3.4145



(2)
CaAg2PdAu2, relaxed, DFT PBE-GGA; volume = 156.0 Å³/f.u.; VASP energy = -18.53 eV per cell; size of the total moment = 0.00 μB per formula unit; energy of formation from the pure elements = 153.7 meV per atom; symmetry = I4/mmm, No. 139
1.0
-1.3526 -5.1120 0.6850
4.9599 -1.0950 1.6220
-3.2591 4.1826 4.0256
Ca Ag Pd Au
1 2 1 2
Cartesian
1.8037 -3.1035 1.1535
1.7522 -0.0079 3.4006
-1.4040 -2.0164 2.9321
0.0000 0.0000 0.0000
-0.6929 0.5137 2.4655
1.0411 -2.5381 3.8671



(3)
CaAgPdAu2, relaxed, DFT PBE-GGA; volume = 139.9 Å³/f.u.; VASP energy = -13.23 eV per cell; size of the total moment = 0.00 μB per formula unit; energy of formation from the pure elements = 674.5 meV per atom; symmetry = P4/mmm, No. 123
1.0
5.3045 0.0000 0.0000
0.0000 4.9722 0.0000
0.0000 0.0000 5.3045
Ca Au Pd Ag
1 2 1 1
Cartesian
0.0000 0.0000 0.0000
0.0000 0.0000 2.6523
2.6523 0.0000 0.0000
0.0000 2.4861 0.0000
2.6523 2.4861 2.6523



(4)
Ca2Ag2PdAu5, relaxed, DFT PBE-GGA; volume = 204.7 Å³/f.u.; VASP energy = -70.07 eV per cell; size of the total moment = 0.00 μB per formula unit; energy of formation from the pure elements = -375.1 meV per atom; symmetry = P4/mbm, No. 127
1.0
4.1174 0.0000 0.0000
0.0000 9.9714 0.0000
0.0000 0.0000 9.9714
Ca Ag Pd Au
4 4 2 10
Cartesian
0.0000 6.7258 1.7401
0.0000 3.2456 8.2312
0.0000 1.7401 3.2456
0.0000 8.2312 6.7258
0.0000 1.2639 6.2496
0.0000 8.7075 3.7218
0.0000 6.2496 8.7075
0.0000 3.7218 1.2639
0.0000 0.0000 0.0000
0.0000 4.9857 4.9857
2.0587 1.9475 0.5617
2.0587 8.0238 9.4096
2.0587 0.5617 8.0238
2.0587 6.9332 4.4240
2.0587 9.4096 1.9475
2.0587 3.0381 5.5474
2.0587 5.5474 6.9332
2.0587 4.4240 3.0381
2.0587 4.9857 0.0000
2.0587 0.0000 4.9857



(5)
Ca2AgPd3Au12, relaxed, DFT PBE-GGA; volume = 353.9 Å³/f.u.; VASP energy = -65.64 eV per cell; size of the total moment = 0.00 μB per formula unit; energy of formation from the pure elements = -215.7 meV per atom; symmetry = R-3m, No. 166
1.0
6.9090 -1.4271 -1.0122
2.1711 6.7124 -1.0122
2.1711 1.2638 6.6697
Ca Ag Pd Au
2 1 3 12
Cartesian
8.3195 4.8427 3.4349
2.9317 1.7065 1.2104
0.0000 0.0000 0.0000
3.4545 -0.7135 -0.5061
1.0856 3.3562 -0.5061
1.0856 0.6319 3.3348
5.6415 3.2838 4.9750
7.9072 4.6026 0.3525
5.5174 5.9599 4.2273
7.8128 2.0506 1.4545
7.9072 1.8543 4.2273
5.6415 5.7809 1.4545
5.6098 3.2653 -0.3298
3.3441 1.9465 4.2927
5.7339 0.5892 0.4179
3.4384 4.4985 3.1908
3.3441 4.6949 0.4179
5.6098 0.7683 3.1908



(6)
Ca4AgPd2Au, relaxed, DFT PBE-GGA; volume = 187.7 Å³/f.u.; VASP energy = -29.47 eV per cell; size of the total moment = 0.00 μB per formula unit; energy of formation from the pure elements = -618.3 meV per atom; symmetry = R-3m, No. 166
1.0
-4.2514 -2.7108 0.8112
-0.0584 -3.6503 3.5710
-3.9093 3.4491 7.1133
Ca Ag Pd Au
4 1 2 1
Cartesian
-5.0256 0.6074 7.8419
-5.2485 -4.2467 6.5281
-2.9706 1.3347 4.9674
-3.1935 -3.5193 3.6536
0.0000 0.0000 0.0000
-6.1823 -2.1434 8.6628
-2.0367 -0.7686 2.8327
-4.1095 -1.4560 5.7478



(7)
Ca2AgPd5Au2, relaxed, DFT PBE-GGA; volume = 192.9 Å³/f.u.; VASP energy = -87.43 eV per cell; size of the total moment = 0.00 μB per formula unit; energy of formation from the pure elements = -434.1 meV per atom; symmetry = P4/mbm, No. 127
1.0
4.2218 0.0000 0.0000
0.0000 9.5598 0.0000
0.0000 0.0000 9.5598
Ca Ag Pd Au
4 2 10 4
Cartesian
0.0000 6.4373 1.6575
0.0000 3.1224 7.9023
0.0000 1.6575 3.1224
0.0000 7.9023 6.4373
0.0000 0.0000 0.0000
0.0000 4.7799 4.7799
2.1109 1.9073 0.6180
2.1109 7.6525 8.9417
2.1109 0.6180 7.6525
2.1109 6.6871 4.1619
2.1109 8.9417 1.9073
2.1109 2.8726 5.3979
2.1109 5.3979 6.6871
2.1109 4.1619 2.8726
2.1109 4.7799 0.0000
2.1109 0.0000 4.7799
0.0000 1.1910 5.9709
0.0000 8.3688 3.5889
0.0000 5.9709 8.3688
0.0000 3.5889 1.1910



(8)
Ca4AgPdAu2, relaxed, DFT PBE-GGA; volume = 191.8 Å³/f.u.; VASP energy = -27.76 eV per cell; size of the total moment = 0.00 μB per formula unit; energy of formation from the pure elements = -644.7 meV per atom; symmetry = R-3m, No. 166
1.0
5.1452 0.0000 0.0000
2.5726 4.4559 0.0000
2.5726 1.4853 8.3657
Ca Ag Pd Au
4 1 1 2
Cartesian
5.1452 2.9706 7.2315
7.7178 4.4559 3.2189
2.5726 1.4853 5.1469
5.1452 2.9706 1.1343
0.0000 0.0000 0.0000
5.1452 2.9706 4.1829
7.7178 4.4559 6.3286
2.5726 1.4853 2.0371



(9)
CaAgPdAu, relaxed, DFT PBE-GGA; volume = 77.1 Å³/f.u.; VASP energy = -15.21 eV per cell; size of the total moment = 0.00 μB per formula unit; energy of formation from the pure elements = -472.0 meV per atom; symmetry = I-4m2, No. 119
1.0
4.2788 0.0000 0.0000
0.0000 4.2788 -0.0008
-2.1394 -2.1402 4.2133
Ca Ag Pd Au
1 1 1 1
Cartesian
0.0000 -0.0008 4.2129
0.0000 4.2788 -0.0007
0.0000 2.1389 2.1061
2.1394 -0.0002 2.1064



(10)
CaPmAgAu, relaxed, DFT PBE-GGA; volume = 99.3 Å³/f.u.; VASP energy = -15.13 eV per cell; size of the total moment = 0.00 μB per formula unit; energy of formation from the pure elements = -562.7 meV per atom; symmetry = F-43m, No. 216
1.0
5.1985 0.0000 0.0000
2.5993 4.5020 0.0000
2.5993 1.5007 4.2446
Ca Au Ag Pm
1 1 1 1
Cartesian
2.5993 1.5007 1.0611
0.0000 0.0000 0.0000
5.1985 3.0014 2.1223
7.7978 4.5020 3.1834



(11)
Ca2AgPtAu6, relaxed, DFT PBE-GGA; volume = 267.8 Å³/f.u.; VASP energy = -32.66 eV per cell; size of the total moment = 0.00 μB per formula unit; energy of formation from the pure elements = -9.6 meV per atom; symmetry = Fm-3m, No. 225
1.0
7.2347 -0.0004 0.0000
0.0005 7.2347 0.0000
3.6176 3.6171 5.1157
Ca Ag Pt Au
2 1 1 6
Cartesian
3.6178 7.2345 2.5579
7.2349 3.6170 2.5579
3.6176 3.6172 0.0000
0.0000 0.0000 0.0000
1.8049 5.4300 0.0000
5.4304 5.4298 0.0000
3.6176 3.6172 2.5636
5.4302 1.8043 0.0000
1.8048 1.8046 0.0000
7.2352 7.2343 2.5522



(12)
Ca2AgPt2Au5, relaxed, DFT PBE-GGA; volume = 201.6 Å³/f.u.; VASP energy = -80.40 eV per cell; size of the total moment = 0.00 μB per formula unit; energy of formation from the pure elements = -487.7 meV per atom; symmetry = P4/mbm, No. 127
1.0
4.2471 0.0000 0.0000
0.0000 9.7426 0.0000
0.0000 0.0000 9.7426
Ca Ag Pt Au
4 2 4 10
Cartesian
0.0000 6.5409 1.6696
0.0000 3.2017 8.0730
0.0000 1.6696 3.2017
0.0000 8.0730 6.5409
0.0000 0.0000 0.0000
0.0000 4.8713 4.8713
0.0000 1.2283 6.0996
0.0000 8.5144 3.6430
0.0000 6.0996 8.5144
0.0000 3.6430 1.2283
2.1236 1.9338 0.6624
2.1236 7.8088 9.0802
2.1236 0.6624 7.8088
2.1236 6.8052 4.2089
2.1236 9.0802 1.9338
2.1236 2.9375 5.5337
2.1236 5.5337 6.8052
2.1236 4.2089 2.9375
2.1236 4.8713 0.0000
2.1236 0.0000 4.8713



(13)
CaPuAgAu, relaxed, DFT PBE-GGA; volume = 99.1 Å³/f.u.; VASP energy = -23.65 eV per cell; size of the total moment = 6.00 μB per formula unit; energy of formation from the pure elements = -296.4 meV per atom; symmetry = F-43m, No. 216
1.0
-2.7001 0.8550 4.3551
-5.1460 0.6752 -0.2246
-3.1838 -3.6673 1.8445
Ca Au Ag Pu
1 1 1 1
Cartesian
-5.5150 -1.0685 2.9875
-2.7575 -0.5343 1.4938
-8.2725 -1.6028 4.4813
0.0000 0.0000 0.0000



(14)
RbCa2AgAu, relaxed, DFT PBE-GGA; volume = 243.8 Å³/f.u.; VASP energy = -5.79 eV per cell; size of the total moment = 0.00 μB per formula unit; energy of formation from the pure elements = 1062.1 meV per atom; symmetry = P4/mmm, No. 123
1.0
6.6179 0.0000 0.0000
0.0000 5.5674 0.0000
0.0000 0.0000 6.6179
Ca Au Rb Ag
2 1 1 1
Cartesian
0.0000 0.0000 3.3090
3.3090 0.0000 0.0000
3.3090 2.7837 3.3090
0.0000 0.0000 0.0000
0.0000 2.7837 0.0000



(15)
RbCaAgAu2, relaxed, DFT PBE-GGA; volume = 157.0 Å³/f.u.; VASP energy = -12.50 eV per cell; size of the total moment = 0.00 μB per formula unit; energy of formation from the pure elements = -25.6 meV per atom; symmetry = P4/mmm, No. 123
1.0
-1.7729 4.3987 -2.7249
-4.6454 -0.3804 2.4084
1.8217 3.2266 4.0233
Ca Au Rb Ag
1 2 1 1
Cartesian
-2.3227 -0.1902 1.2042
0.9109 1.6133 2.0117
-0.8865 2.1993 -1.3625
-2.2983 3.6225 1.8534
0.0000 0.0000 0.0000



(16)
CaAgSbAu, relaxed, DFT PBE-GGA; volume = 90.3 Å³/f.u.; VASP energy = -13.93 eV per cell; size of the total moment = 0.00 μB per formula unit; symmetry = F-43m, No. 216; uncorrected formation energy = -0.42 eV per atom
1.0
-0.6974 4.8737 1.0573
-4.1873 1.4885 2.3681
0.2380 1.6011 4.7684
Sb Ca Au Ag
1 1 1 1
Cartesian
-2.3234 3.9816 4.0969
0.0000 0.0000 0.0000
-3.4851 5.9724 6.1453
-1.1617 1.9908 2.0484



(17)
CaScAgAu, relaxed, DFT PBE-GGA; volume = 89.3 Å³/f.u.; VASP energy = -16.67 eV per cell; size of the total moment = 0.00 μB per formula unit; energy of formation from the pure elements = -551.1 meV per atom; symmetry = P4mm, No. 99
1.0
-0.7326 -0.8826 3.3325
3.3911 0.4284 0.8589
-1.2649 6.9041 1.5504
Ca Sc Ag Au
1 1 1 1
Cartesian
-1.0912 5.9557 1.3374
-0.4384 2.3926 0.5373
0.6041 3.7309 2.9845
1.1452 0.7775 2.3213



(18)
CaScAgAu, relaxed, DFT PBE-GGA; volume = 87.7 Å³/f.u.; VASP energy = -16.39 eV per cell; size of the total moment = 0.00 μB per formula unit; energy of formation from the pure elements = -482.3 meV per atom; symmetry = F-43m, No. 216
1.0
4.9866 0.0000 0.0000
2.4933 4.3186 0.0000
2.4933 1.4395 4.0716
Sc Ca Au Ag
1 1 1 1
Cartesian
4.9866 2.8790 2.0358
0.0000 0.0000 0.0000
7.4800 4.3186 3.0537
2.4933 1.4395 1.0179



(19)
CaAgAuSe, relaxed, DFT PBE-GGA; volume = 87.5 Å³/f.u.; VASP energy = -14.14 eV per cell; size of the total moment = 0.00 μB per formula unit; symmetry = F-43m, No. 216; uncorrected formation energy = -0.63 eV per atom
1.0
4.9841 0.0000 0.0000
2.4921 4.3164 0.0000
2.4921 1.4388 4.0695
Ca Au Se Ag
1 1 1 1
Cartesian
0.0000 0.0000 0.0000
2.4921 1.4388 1.0174
7.4762 4.3164 3.0521
4.9841 2.8776 2.0348



(20)
CaAgAu2Se, relaxed, DFT PBE-GGA; volume = 154.8 Å³/f.u.; VASP energy = -10.90 eV per cell; size of the total moment = 0.00 μB per formula unit; symmetry = P4/mmm, No. 123; uncorrected formation energy = 0.80 eV per atom
1.0
-3.5287 0.4370 -3.8788
-4.1475 -0.3189 3.7373
0.0708 5.2352 0.5253
Ca Au Se Ag
1 2 1 1
Cartesian
0.0000 0.0000 0.0000
0.0354 2.6176 0.2627
-1.7644 0.2185 -1.9394
-3.8027 2.6766 0.1919
-2.0738 -0.1594 1.8686



(21)
CaSi2Ag2Au7, relaxed, DFT PBE-GGA; volume = 234.5 Å³/f.u.; VASP energy = -42.64 eV per cell; size of the total moment = 0.00 μB per formula unit; symmetry = C2/m, No. 12; uncorrected formation energy = -0.10 eV per atom
1.0
4.2957 -0.1639 -0.1655
-0.1586 4.2958 -0.1655
1.4830 1.4812 12.6076
Ca Si Ag Au
1 2 2 7
Cartesian
0.0000 0.0000 0.0000
3.2673 3.2633 8.8743
2.3527 2.3498 3.4023
4.2803 4.2751 3.9458
1.3397 1.3380 8.3308
2.0685 2.0660 -0.1655
1.8594 1.8571 5.6908
3.7606 3.7560 6.5858
4.4168 2.0937 1.9415
2.0991 4.4142 1.9415
3.5209 1.1990 10.3351
1.2032 3.5195 10.3351



(22)
Ca4Si3AgAu12, relaxed, DFT PBE-GGA; volume = 470.5 Å³/f.u.; VASP energy = -72.21 eV per cell; size of the total moment = 0.00 μB per formula unit; symmetry = Im-3m, No. 229; uncorrected formation energy = -0.29 eV per atom
1.0
-3.3298 4.3681 6.4691
1.3880 -8.0158 2.4160
7.3397 3.5612 -2.3375
Ca Si Ag Au
4 3 1 12
Cartesian
2.6990 -0.0433 3.2738
3.6699 1.7806 -1.1687
-1.6649 2.1840 3.2346
0.6940 -4.0079 1.2080
2.0050 3.9646 2.0658
-0.9709 -1.8239 4.4426
4.3638 -2.2273 0.0393
0.0000 0.0000 0.0000
5.3663 -0.2450 1.0722
2.9595 5.8520 3.0493
1.0505 2.0772 1.0824
0.0316 0.1584 5.4755
-1.4331 -2.6922 6.5575
-0.5087 -0.9556 2.3276
1.5195 3.0527 4.2871
3.8784 -3.1393 2.2606
4.1869 2.8509 2.0855
6.4413 -3.2877 0.0580
1.2110 -2.9376 4.4622
2.2864 -1.1670 0.0206



(23)
CaSiAg2Au4, relaxed, DFT PBE-GGA; volume = 152.3 Å³/f.u.; VASP energy = -27.76 eV per cell; size of the total moment = 0.00 μB per formula unit; symmetry = R-3m, No. 166; uncorrected formation energy = -0.19 eV per atom
1.0
4.7978 0.0000 0.0000
2.3989 4.1550 0.0000
2.3989 1.3850 7.6378
Ca Si Ag Au
1 1 2 4
Cartesian
0.0000 0.0000 0.0000
4.7978 2.7700 3.8189
7.1966 4.1550 5.9868
2.3989 1.3850 1.6510
4.7978 2.7700 6.3240
7.1966 4.1550 3.0982
2.3989 1.3850 4.5397
4.7978 2.7700 1.3138